# Ce2Pm5Sn5

A geometry-optimized Ce2Pm5Sn5 structure (PBE-GGA, the Alexandria database).

Cell: 11.3996 4.7561 14.5544 Å, 90.00 104.66 90.00°
With the nearest neighbours (Å) after each atom.
Space group C2/m (No. 12)
Asymmetric unit:
1 Ce 0.0159 0.0000 0.2171 x4  4 Sn 3.12-3.25
2 Pm 0.0000 0.5000 0.5000 x2  4 Sn 3.21
3 Pm 0.1808 0.5000 0.0597 x4  4 Sn 3.12-3.24
4 Pm 0.2330 0.0000 0.6643 x4  5 Sn 3.23-3.26
5 Sn 0.0000 0.0000 0.0000 x2  2 Ce 3.12, 4 Pm 3.12
6 Sn 0.1500 0.0000 0.4341 x4  1 Ce 3.14, 5 Pm 3.21-3.24, 2 Sn 3.51
7 Sn 0.1829 0.5000 0.8030 x4  4 Pm 3.24-3.26, 3 Ce 3.25-3.52

Results
calculated density: 6955 kg/m³
formation enthalpy at 0 K: -0.504 eV per atom